Material: SmTm3Rh2
Method: DFT, PBE-GGA
State: relaxed

Lattice parameters (Å, degrees): 8.255 8.255 10.551 114.48 114.48 29.79
Atoms (fractional coordinates):
1 Sm 0.056 0.056 0.211
2 Sm 0.944 0.944 0.789
3 Tm 0.212 0.212 0.595
4 Tm 0.331 0.331 0.974
5 Tm 0.426 0.426 0.333
6 Tm 0.574 0.574 0.667
7 Tm 0.669 0.669 0.026
8 Tm 0.788 0.788 0.405
9 Rh 0.139 0.139 0.843
10 Rh 0.382 0.382 0.579
11 Rh 0.618 0.618 0.421
12 Rh 0.861 0.861 0.157

SG = No. 12
calculated density = 8883 kg/m³
total magnetization = 0.0000 μB per atom
energy of formation = -0.611 eV per atom
Fermi-level density of states = 0.826 states/eV/atom
final energy = -6.084 eV per atom
offset from the most stable computed form = 70 meV/atom

Material: SmTmRh
Method: DFT, PBE-GGA
State: relaxed

Lattice parameters (Å, degrees): 6.826 6.826 6.826 90.00 90.00 90.00
Atoms (fractional coordinates):
1 Sm 0.000 0.000 0.000
2 Sm 0.000 0.500 0.500
3 Sm 0.500 0.000 0.500
4 Sm 0.500 0.500 0.000
5 Tm 0.000 0.000 0.500
6 Tm 0.000 0.500 0.000
7 Tm 0.500 0.000 0.000
8 Tm 0.500 0.500 0.500
9 Rh 0.250 0.250 0.750
10 Rh 0.250 0.750 0.250
11 Rh 0.750 0.250 0.250
12 Rh 0.750 0.750 0.750

SG = No. 216
calculated density = 8816 kg/m³
total magnetization = 0.0000 μB per atom
energy of formation = -0.560 eV per atom
Fermi-level density of states = 1.020 states/eV/atom
final energy = -6.074 eV per atom
offset from the most stable computed form = 3 meV/atom

Material: Sm2Tm5Rh4
Method: DFT, PBE-GGA
State: relaxed

Lattice parameters (Å, degrees): 12.120 12.120 6.817 92.91 92.91 16.64
Atoms (fractional coordinates):
1 Sm 0.087 0.087 0.160
2 Sm 0.913 0.913 0.840
3 Tm 0.134 0.134 0.679
4 Tm 0.233 0.233 0.221
5 Tm 0.500 0.500 0.500
6 Tm 0.767 0.767 0.779
7 Tm 0.866 0.866 0.321
8 Rh 0.028 0.028 0.801
9 Rh 0.330 0.330 0.022
10 Rh 0.670 0.670 0.978
11 Rh 0.972 0.972 0.199

SG = No. 12
calculated density = 9029 kg/m³
total magnetization = 0.0000 μB per atom
energy of formation = -0.444 eV per atom
Fermi-level density of states = 0.756 states/eV/atom
final energy = -6.008 eV per atom

Material: SmTm2Rh3
Method: DFT, PBE-GGA
State: relaxed

Lattice parameters (Å, degrees): 3.414 3.414 10.282 90.00 90.00 90.00
Atoms (fractional coordinates):
1 Sm 0.000 0.000 0.000
2 Tm 0.000 0.000 0.337
3 Tm 0.000 0.000 0.663
4 Rh 0.500 0.500 0.177
5 Rh 0.500 0.500 0.500
6 Rh 0.500 0.500 0.823

SG = No. 123
calculated density = 11039 kg/m³
total magnetization = 0.0000 μB per atom
energy of formation = -0.878 eV per atom
Fermi-level density of states = 0.596 states/eV/atom
final energy = -6.831 eV per atom

Material: Sm5TmRh6
Method: DFT, PBE-GGA
State: relaxed

Lattice parameters (Å, degrees): 4.937 6.908 7.809 90.00 108.32 90.00
Atoms (fractional coordinates):
1 Sm 0.000 0.000 0.000
2 Sm 0.333 0.000 0.667
3 Sm 0.334 0.500 0.668
4 Sm 0.666 0.500 0.332
5 Sm 0.667 0.000 0.333
6 Tm 0.000 0.500 0.000
7 Rh 0.164 0.253 0.328
8 Rh 0.164 0.747 0.328
9 Rh 0.500 0.257 0.000
10 Rh 0.500 0.743 0.000
11 Rh 0.836 0.253 0.672
12 Rh 0.836 0.747 0.672

SG = No. 10
calculated density = 10102 kg/m³
total magnetization = 0.0000 μB per atom
energy of formation = -0.755 eV per atom
Fermi-level density of states = 0.634 states/eV/atom
final energy = -6.770 eV per atom

Material: Sm2TmRh
Method: DFT, PBE-GGA
State: relaxed

Lattice parameters (Å, degrees): 7.206 9.775 6.280 90.00 90.00 90.00
Atoms (fractional coordinates):
1 Sm 0.179 0.065 0.171
2 Sm 0.179 0.435 0.171
3 Sm 0.321 0.565 0.671
4 Sm 0.321 0.935 0.671
5 Sm 0.679 0.065 0.329
6 Sm 0.679 0.435 0.329
7 Sm 0.821 0.565 0.829
8 Sm 0.821 0.935 0.829
9 Tm 0.038 0.250 0.647
10 Tm 0.462 0.750 0.147
11 Tm 0.538 0.250 0.853
12 Tm 0.962 0.750 0.353
13 Rh 0.121 0.750 0.949
14 Rh 0.379 0.250 0.449
15 Rh 0.621 0.750 0.551
16 Rh 0.879 0.250 0.051

SG = No. 62
calculated density = 8598 kg/m³
total magnetization = 0.0000 μB per atom
energy of formation = -0.487 eV per atom
Fermi-level density of states = 1.029 states/eV/atom
final energy = -5.802 eV per atom
offset from the most stable computed form = 0 meV/atom

Material: SmTmRh2
Method: DFT, PBE-GGA
State: relaxed

Lattice parameters (Å, degrees): 3.386 3.386 7.098 90.00 90.00 90.00
Atoms (fractional coordinates):
1 Sm 0.000 0.000 0.000
2 Tm 0.000 0.000 0.500
3 Rh 0.500 0.500 0.262
4 Rh 0.500 0.500 0.738

SG = No. 123
calculated density = 10717 kg/m³
total magnetization = 0.0000 μB per atom
energy of formation = -0.831 eV per atom
Fermi-level density of states = 0.534 states/eV/atom
final energy = -6.804 eV per atom

Material: SmTm2Rh4
Method: DFT, PBE-GGA
State: relaxed

Lattice parameters (Å, degrees): 8.217 8.217 8.217 32.72 32.72 32.72
Atoms (fractional coordinates):
1 Sm 0.000 0.000 0.000
2 Tm 0.238 0.238 0.238
3 Tm 0.762 0.762 0.762
4 Rh 0.122 0.122 0.122
5 Rh 0.378 0.378 0.378
6 Rh 0.622 0.622 0.622
7 Rh 0.878 0.878 0.878

SG = No. 166
calculated density = 10363 kg/m³
total magnetization = 0.0000 μB per atom
energy of formation = -0.529 eV per atom
Fermi-level density of states = 0.463 states/eV/atom
final energy = -6.681 eV per atom

Material: Sm2Tm2Rh15
Method: DFT, PBE-GGA
State: relaxed

Lattice parameters (Å, degrees): 6.924 6.924 6.924 82.28 82.28 82.28
Atoms (fractional coordinates):
1 Sm 0.142 0.142 0.142
2 Sm 0.858 0.858 0.858
3 Tm 0.391 0.391 0.391
4 Tm 0.609 0.609 0.609
5 Rh 0.000 0.500 0.500
6 Rh 0.150 0.150 0.658
7 Rh 0.150 0.658 0.150
8 Rh 0.195 0.500 0.805
9 Rh 0.195 0.805 0.500
10 Rh 0.342 0.850 0.850
11 Rh 0.500 0.000 0.500
12 Rh 0.500 0.195 0.805
13 Rh 0.500 0.500 0.000
14 Rh 0.500 0.805 0.195
15 Rh 0.658 0.150 0.150
16 Rh 0.805 0.195 0.500
17 Rh 0.805 0.500 0.195
18 Rh 0.850 0.342 0.850
19 Rh 0.850 0.850 0.342

SG = No. 166
calculated density = 11196 kg/m³
total magnetization = 0.0000 μB per atom
energy of formation = -0.382 eV per atom
Fermi-level density of states = 1.415 states/eV/atom
final energy = -7.153 eV per atom

Material: SmTm3Rh2
Method: DFT, PBE-GGA
State: relaxed

Lattice parameters (Å, degrees): 4.614 8.688 7.174 90.00 90.00 90.00
Atoms (fractional coordinates):
1 Sm 0.000 0.084 0.000
2 Sm 0.000 0.916 0.500
3 Tm 0.000 0.333 0.629
4 Tm 0.000 0.667 0.129
5 Tm 0.500 0.175 0.347
6 Tm 0.500 0.417 0.974
7 Tm 0.500 0.583 0.474
8 Tm 0.500 0.825 0.847
9 Rh 0.000 0.345 0.235
10 Rh 0.000 0.655 0.735
11 Rh 0.500 0.163 0.740
12 Rh 0.500 0.837 0.240

SG = No. 26
calculated density = 9965 kg/m³
total magnetization = 0.0000 μB per atom
energy of formation = -0.681 eV per atom
Fermi-level density of states = 0.954 states/eV/atom
final energy = -6.154 eV per atom
offset from the most stable computed form = 0 meV/atom

Material: SmTm3Rh4
Method: DFT, PBE-GGA
State: relaxed

Lattice parameters (Å, degrees): 8.365 8.365 8.365 33.46 33.46 33.46
Atoms (fractional coordinates):
1 Sm 0.000 0.000 0.000
2 Tm 0.249 0.249 0.249
3 Tm 0.500 0.500 0.500
4 Tm 0.751 0.751 0.751
5 Rh 0.127 0.127 0.127
6 Rh 0.377 0.377 0.377
7 Rh 0.623 0.623 0.623
8 Rh 0.873 0.873 0.873

SG = No. 166
calculated density = 11200 kg/m³
total magnetization = 0.0000 μB per atom
energy of formation = -0.904 eV per atom
Fermi-level density of states = 0.404 states/eV/atom
final energy = -6.846 eV per atom

Material: SmTm5Rh6
Method: DFT, PBE-GGA
State: relaxed

Lattice parameters (Å, degrees): 7.570 7.570 6.864 90.00 90.00 143.22
Atoms (fractional coordinates):
1 Sm 0.000 0.000 0.000
2 Tm 0.000 0.000 0.500
3 Tm 0.332 0.668 0.000
4 Tm 0.333 0.667 0.500
5 Tm 0.667 0.333 0.500
6 Tm 0.668 0.332 0.000
7 Rh 0.168 0.832 0.253
8 Rh 0.168 0.832 0.747
9 Rh 0.500 0.500 0.256
10 Rh 0.500 0.500 0.744
11 Rh 0.832 0.168 0.253
12 Rh 0.832 0.168 0.747

SG = No. 65
calculated density = 11367 kg/m³
total magnetization = 0.0000 μB per atom
energy of formation = -0.922 eV per atom
Fermi-level density of states = 0.548 states/eV/atom
final energy = -6.855 eV per atom